(1)
Here is Pm2Hf after structural relaxation from Alexandria. Energies are from GGA-PBE.

Values from the calculation:
* E_tot: -6.33 eV/atom
* ρ: 8.78 g/cm3
* formation energy from the elements: 0.159 eV per atom
* DOS at the Fermi energy: 8.5 states/eV per cell

```
data_Pm2Hf
_chemical_formula_sum 'Pm4 Hf2'
_cell_length_a 3.393
_cell_length_b 3.393
_cell_length_c 15.399
_cell_angle_alpha 90.00
_cell_angle_beta 90.00
_cell_angle_gamma 90.00
_space_group_name_H-M_alt 'I 4/m m m'
_space_group_IT_number 139
_space_group_name_Hall '-I 4 2'
loop_
_atom_site_label
_atom_site_type_symbol
_atom_site_fract_x
_atom_site_fract_y
_atom_site_fract_z
Pm1 Pm 0.000 0.000 0.153
Hf1 Hf 0.000 0.000 0.500
```

***

(2)
Here is PmHf5 after structural relaxation from Alexandria. Energies are from GGA-PBE.

Values from the calculation:
* E_tot: -8.92 eV/atom
* ρ: 12.07 g/cm3
* formation energy from the elements: 0.169 eV per atom
* DOS at the Fermi energy: 16.6 states/eV per cell

```
data_PmHf5
_chemical_formula_sum 'Pm2 Hf10'
_cell_length_a 4.539
_cell_length_b 13.834
_cell_length_c 4.546
_cell_angle_alpha 90.00
_cell_angle_beta 90.00
_cell_angle_gamma 90.00
_space_group_name_H-M_alt 'C m m m'
_space_group_IT_number 65
_space_group_name_Hall '-C 2 2'
loop_
_atom_site_label
_atom_site_type_symbol
_atom_site_fract_x
_atom_site_fract_y
_atom_site_fract_z
Pm1 Pm 0.000 0.000 0.000
Hf1 Hf 0.000 0.173 0.500
Hf2 Hf 0.000 0.327 0.000
Hf3 Hf 0.000 0.500 0.500
```

***

(3)
Here is PmHf after structural relaxation from Alexandria. Energies are from GGA-PBE.

Values from the calculation:
* E_tot: -7.09 eV/atom
* ρ: 9.86 g/cm3
* offset from the most stable computed form: 0.08 eV/f.u.
* formation energy from the elements: 0.259 eV per atom
* DOS at the Fermi energy: 3.4 states/eV per cell

```
data_PmHf
_chemical_formula_sum 'Pm1 Hf1'
_cell_length_a 3.3765
_cell_length_b 3.3765
_cell_length_c 5.5197
_cell_angle_alpha 90.00
_cell_angle_beta 90.00
_cell_angle_gamma 120.00
_space_group_name_H-M_alt 'P -6 m 2'
_space_group_IT_number 187
_space_group_name_Hall 'P -6 2'
loop_
_atom_site_label
_atom_site_type_symbol
_atom_site_fract_x
_atom_site_fract_y
_atom_site_fract_z
Pm1 Pm 0.0000 0.0000 0.0000
Hf1 Hf 0.3333 0.6667 0.5000
```

***

(4)
Here is Pm5Hf after structural relaxation from Alexandria. Energies are from GGA-PBE.

Values from the calculation:
* E_tot: -5.50 eV/atom
* ρ: 7.89 g/cm3
* formation energy from the elements: 0.118 eV per atom
* DOS at the Fermi energy: 14.4 states/eV per cell

```
data_Pm5Hf
_chemical_formula_sum 'Pm10 Hf2'
_cell_length_a 4.992
_cell_length_b 15.227
_cell_length_c 5.006
_cell_angle_alpha 90.00
_cell_angle_beta 90.00
_cell_angle_gamma 90.00
_space_group_name_H-M_alt 'C m m m'
_space_group_IT_number 65
_space_group_name_Hall '-C 2 2'
loop_
_atom_site_label
_atom_site_type_symbol
_atom_site_fract_x
_atom_site_fract_y
_atom_site_fract_z
Pm1 Pm 0.000 0.000 0.000
Pm2 Pm 0.000 0.159 0.500
Pm3 Pm 0.000 0.340 0.000
Hf1 Hf 0.000 0.500 0.500
```

***

(5)
Here is PmHfPt6 after structural relaxation from Alexandria. Energies are from GGA-PBE.

Values from the calculation:
* E_tot: -7.39 eV/atom
* ρ: 17.90 g/cm3
* formation energy from the elements: -1.026 eV per atom
* DOS at the Fermi energy: 2.4 states/eV per cell

```
data_PmHfPt6
_chemical_formula_sum 'Pm1 Hf1 Pt6'
_cell_length_a 4.107
_cell_length_b 4.107
_cell_length_c 8.214
_cell_angle_alpha 90.00
_cell_angle_beta 90.00
_cell_angle_gamma 90.00
_space_group_name_H-M_alt 'P 4/m m m'
_space_group_IT_number 123
_space_group_name_Hall '-P 4 2'
loop_
_atom_site_label
_atom_site_type_symbol
_atom_site_fract_x
_atom_site_fract_y
_atom_site_fract_z
Pm1 Pm 0.000 0.000 0.000
Hf1 Hf 0.000 0.000 0.500
Pt1 Pt 0.000 0.500 0.264
Pt2 Pt 0.500 0.500 0.000
Pt3 Pt 0.500 0.500 0.500
```

***

(6)
Here is PmHf2Pt2 after structural relaxation from Alexandria. Energies are from GGA-PBE.

Values from the calculation:
* E_tot: -8.29 eV/atom
* ρ: 12.97 g/cm3
* formation energy from the elements: -0.942 eV per atom
* DOS at the Fermi energy: 5.5 states/eV per cell

```
data_PmHf2Pt2
_chemical_formula_sum 'Pm2 Hf4 Pt4'
_cell_length_a 4.598
_cell_length_b 4.598
_cell_length_c 10.807
_cell_angle_alpha 90.00
_cell_angle_beta 90.00
_cell_angle_gamma 90.00
_space_group_name_H-M_alt 'I 4/m m m'
_space_group_IT_number 139
_space_group_name_Hall '-I 4 2'
loop_
_atom_site_label
_atom_site_type_symbol
_atom_site_fract_x
_atom_site_fract_y
_atom_site_fract_z
Pm1 Pm 0.000 0.000 0.000
Hf1 Hf 0.000 0.500 0.250
Pt1 Pt 0.000 0.000 0.377
```

***

(7)
Here is Pm2HfPt2 after structural relaxation from Alexandria. Energies are from GGA-PBE.

Values from the calculation:
* E_tot: -7.22 eV/atom
* ρ: 11.78 g/cm3
* formation energy from the elements: -0.914 eV per atom
* DOS at the Fermi energy: 11.6 states/eV per cell

```
data_Pm2HfPt2
_chemical_formula_sum 'Pm4 Hf2 Pt4'
_cell_length_a 3.897
_cell_length_b 6.526
_cell_length_c 9.514
_cell_angle_alpha 90.00
_cell_angle_beta 90.00
_cell_angle_gamma 90.00
_space_group_name_H-M_alt 'I m m m'
_space_group_IT_number 71
_space_group_name_Hall '-I 2 2'
loop_
_atom_site_label
_atom_site_type_symbol
_atom_site_fract_x
_atom_site_fract_y
_atom_site_fract_z
Pm1 Pm 0.000 0.000 0.201
Hf1 Hf 0.000 0.500 0.000
Pt1 Pt 0.000 0.279 0.500
```

***

(8)
Here is PmHf2Pt after structural relaxation from Alexandria. Energies are from GGA-PBE.

Values from the calculation:
* E_tot: -8.07 eV/atom
* ρ: 12.92 g/cm3
* formation energy from the elements: -0.396 eV per atom
* DOS at the Fermi energy: 3.6 states/eV per cell

```
data_PmHf2Pt
_chemical_formula_sum 'Pm1 Hf2 Pt1'
_cell_length_a 3.406
_cell_length_b 3.406
_cell_length_c 7.722
_cell_angle_alpha 90.00
_cell_angle_beta 90.00
_cell_angle_gamma 90.00
_space_group_name_H-M_alt 'P 4/m m m'
_space_group_IT_number 123
_space_group_name_Hall '-P 4 2'
loop_
_atom_site_label
_atom_site_type_symbol
_atom_site_fract_x
_atom_site_fract_y
_atom_site_fract_z
Pm1 Pm 0.000 0.000 0.000
Hf1 Hf 0.500 0.500 0.299
Pt1 Pt 0.000 0.000 0.500
```

***

(9)
Here is PmHfPt after structural relaxation from Alexandria. Energies are from GGA-PBE.

Values from the calculation:
* E_tot: -7.69 eV/atom
* ρ: 11.75 g/cm3
* offset from the most stable computed form: 0.00 eV/f.u.
* formation energy from the elements: -0.771 eV per atom
* DOS at the Fermi energy: 11.0 states/eV per cell

```
data_PmHfPt
_chemical_formula_sum 'Pm4 Hf4 Pt4'
_cell_length_a 4.557
_cell_length_b 4.557
_cell_length_c 14.115
_cell_angle_alpha 90.00
_cell_angle_beta 90.00
_cell_angle_gamma 90.00
_space_group_name_H-M_alt 'I 4/m m m'
_space_group_IT_number 139
_space_group_name_Hall '-I 4 2'
loop_
_atom_site_label
_atom_site_type_symbol
_atom_site_fract_x
_atom_site_fract_y
_atom_site_fract_z
Pm1 Pm 0.000 0.000 0.184
Hf1 Hf 0.000 0.500 0.000
Pt1 Pt 0.000 0.000 0.388
```

***

(10)
Here is PmHfPt2 after structural relaxation from Alexandria. Energies are from GGA-PBE.

Values from the calculation:
* E_tot: -7.79 eV/atom
* ρ: 13.78 g/cm3
* offset from the most stable computed form: 0.00 eV/f.u.
* formation energy from the elements: -1.097 eV per atom
* DOS at the Fermi energy: 4.5 states/eV per cell

```
data_PmHfPt2
_chemical_formula_sum 'Pm2 Hf2 Pt4'
_cell_length_a 5.753
_cell_length_b 4.485
_cell_length_c 7.114
_cell_angle_alpha 90.00
_cell_angle_beta 110.52
_cell_angle_gamma 90.00
_space_group_name_H-M_alt 'P 1 21/m 1'
_space_group_IT_number 11
loop_
_space_group_symop_operation_xyz
'x,y,z'
'-x,-y,-z'
'-x,y+1/2,-z'
'x,-y+1/2,z'
loop_
_atom_site_label
_atom_site_type_symbol
_atom_site_fract_x
_atom_site_fract_y
_atom_site_fract_z
Pm1 Pm 0.184 0.250 0.404
Hf1 Hf 0.358 0.750 0.099
Pt1 Pt 0.118 0.250 0.895
Pt2 Pt 0.375 0.750 0.728
```

***

(11)
Here is PmHfPt after structural relaxation from Alexandria. Energies are from GGA-PBE.

Values from the calculation:
* E_tot: -7.51 eV/atom
* ρ: 11.29 g/cm3
* offset from the most stable computed form: 0.52 eV/f.u.
* formation energy from the elements: -0.599 eV per atom
* DOS at the Fermi energy: 2.7 states/eV per cell

```
data_PmHfPt
_chemical_formula_sum 'Pm1 Hf1 Pt1'
_cell_length_a 4.4743
_cell_length_b 4.4743
_cell_length_c 4.4007
_cell_angle_alpha 90.00
_cell_angle_beta 90.00
_cell_angle_gamma 120.00
_space_group_name_H-M_alt 'P 3 m 1'
_space_group_IT_number 156
loop_
_space_group_symop_operation_xyz
'x,y,z'
'-y,x-y,z'
'-x+y,-x,z'
'-y,-x,z'
'-x+y,y,z'
'x,x-y,z'
loop_
_atom_site_label
_atom_site_type_symbol
_atom_site_fract_x
_atom_site_fract_y
_atom_site_fract_z
Pm1 Pm 0.0000 0.0000 0.0000
Hf1 Hf 0.3333 0.6667 0.4955
Pt1 Pt 0.6667 0.3333 0.5294
```

***

(12)
Here is PmHfPt2 after structural relaxation from Alexandria. Energies are from GGA-PBE.

Values from the calculation:
* E_tot: -7.76 eV/atom
* ρ: 14.34 g/cm3
* offset from the most stable computed form: 0.12 eV/f.u.
* formation energy from the elements: -1.067 eV per atom
* DOS at the Fermi energy: 2.2 states/eV per cell

```
data_PmHfPt2
_chemical_formula_sum 'Pm1 Hf1 Pt2'
_cell_length_a 3.333
_cell_length_b 3.333
_cell_length_c 7.441
_cell_angle_alpha 90.00
_cell_angle_beta 90.00
_cell_angle_gamma 90.00
_space_group_name_H-M_alt 'P 4/m m m'
_space_group_IT_number 123
_space_group_name_Hall '-P 4 2'
loop_
_atom_site_label
_atom_site_type_symbol
_atom_site_fract_x
_atom_site_fract_y
_atom_site_fract_z
Pm1 Pm 0.000 0.000 0.000
Hf1 Hf 0.000 0.000 0.500
Pt1 Pt 0.500 0.500 0.296
```